# 1
PmHf2Cu9: relaxed, PBE-GGA.

Geometry as POSCAR:
```
PmHf2Cu9
1.0
4.884 0.000 1.454
2.226 4.348 1.454
0.091 0.056 8.627
Cu Hf Pm
9 2 1
Cartesian
2.970 1.816 3.403
4.837 2.957 10.546
1.780 2.587 7.402
5.421 1.816 4.133
2.364 1.446 0.989
3.114 0.405 7.402
3.600 2.202 5.767
4.087 3.998 4.133
4.231 2.587 8.131
6.072 3.713 6.394
1.129 0.690 5.140
0.000 0.000 0.000
```

Summary:
The calculation puts the magnetization at 0.0 μB/f.u. The calculation puts the formation energy at -130.3 meV/atom. The volume is 15.20 A^3/atom.

=====

# 2
PmHfCu2: relaxed, PBE-GGA.

Geometry as POSCAR:
```
PmHfCu2
1.0
3.326 0.000 0.000
0.000 4.837 0.000
0.000 0.000 4.837
Hf Cu Pm
1 2 1
Cartesian
1.663 0.000 0.000
0.000 0.000 2.418
0.000 2.418 0.000
1.663 2.418 2.418
```

Summary:
For the energy above the most stable polymorph in this dataset, the calculation gives 89 meV/atom. The calculation puts the magnetization at 0.6 μB/f.u. The calculation puts the formation energy at -24.9 meV/atom. The volume is 19.45 A^3/atom.

=====

# 3
PmHfCu2: relaxed, PBE-GGA.

Geometry as POSCAR:
```
PmHfCu2
1.0
-1.089 4.627 -0.712
-2.395 2.451 3.370
2.239 3.413 2.536
Pm Cu Hf
1 2 1
Cartesian
0.000 0.000 0.000
-0.311 2.623 1.299
-0.933 7.868 3.896
-0.622 5.246 2.597
```

Summary:
For the energy above the most stable polymorph in this dataset, the calculation gives 105 meV/atom. The calculation puts the magnetization at 0.5 μB/f.u. The calculation puts the formation energy at -9.6 meV/atom. The volume is 19.62 A^3/atom.

=====

# 4
PmHfCuPt: relaxed, PBE-GGA.

Geometry as POSCAR:
```
PmHfCuPt
1.0
-3.124 3.667 -0.578
-1.399 1.316 -4.456
-4.535 -0.887 -1.480
Pm Pt Cu Hf
1 1 1 1
Cartesian
0.000 0.000 0.000
-2.265 1.024 -1.628
-6.794 3.072 -4.885
-4.529 2.048 -3.257
```

Summary:
The calculation puts the magnetization at 0.0 μB/f.u. The calculation puts the formation energy at -482.5 meV/atom. The volume is 20.19 A^3/atom.